Record 1
Entry from Alexandria via LeMat-Bulk: a relaxed ReOs2Rh crystal (PBE).

Energy relative to the lowest polymorph listed for this composition   13.8 meV per atom

a b c (Å): 4.733 4.733 4.753
angles (deg): 80.32 80.32 33.50
Sites, in units of the cell vectors:
Os: 0.254 0.254 0.744
Os: 0.746 0.746 0.256
Re: 0.000 0.000 0.500
Rh: 0.500 0.500 0.000

Record 2
Entry from Alexandria via LeMat-Bulk: a relaxed Nd3AgRh2 crystal (PBE).

a b c (Å): 3.572 3.572 11.162
angles (deg): 90.00 90.00 90.00
Sites, in units of the cell vectors:
Nd: 0.000 0.000 0.000
Nd: 0.000 0.000 0.689
Nd: 0.000 0.000 0.311
Rh: 0.500 0.500 0.162
Rh: 0.500 0.500 0.838
Ag: 0.500 0.500 0.500

no.,final energy (eV/atom),DFT formation energy (meV per atom)
1,-10.513,52
2,-5.841,-531